[1]
# Tb3SiTe2, relaxed, DFT GGA-PBE
data_Tb3SiTe2
_chemical_formula_sum 'Tb12 Si4 Te8'
_space_group_name_H-M_alt 'C 1 2/c 1'
_space_group_IT_number 15
_space_group_name_Hall '-C 2yc'
_cell_length_a 7.559
_cell_length_b 12.870
_cell_length_c 7.410
_cell_angle_alpha 90.00
_cell_angle_beta 109.70
_cell_angle_gamma 90.00
loop_
_atom_site_label
_atom_site_fract_x
_atom_site_fract_y
_atom_site_fract_z
_atom_site_occupancy
Tb1 0.215 0.073 0.495 1
Tb2 0.250 0.250 0.000 1
Si1 0.000 0.090 0.750 1
Te1 0.000 0.259 0.250 1
Te2 0.000 0.419 0.750 1
# Spin magnetization (μB per formula unit): 0.00
# VASP energy (eV per atom): -5.488


[2]
# CuSnF6, relaxed, DFT GGA-PBE
data_CuSnF6
_chemical_formula_sum 'Cu1 Sn1 F6'
_space_group_name_H-M_alt 'P -1'
_space_group_IT_number 2
_space_group_name_Hall '-P 1'
_cell_length_a 4.864
_cell_length_b 4.874
_cell_length_c 5.342
_cell_angle_alpha 63.51
_cell_angle_beta 62.96
_cell_angle_gamma 60.52
loop_
_atom_site_label
_atom_site_fract_x
_atom_site_fract_y
_atom_site_fract_z
_atom_site_occupancy
Cu1 0.000 0.000 0.000 1
Sn1 0.500 0.500 0.500 1
F1 0.080 0.749 0.750 1
F2 0.251 0.582 0.249 1
F3 0.419 0.083 0.747 1
# ΔE to the lowest computed polymorph (meV/atom): 0


[3]
# Sm3Mg3Zn2Ir, relaxed, DFT GGA-PBE
data_Sm3Mg3Zn2Ir
_chemical_formula_sum 'Sm3 Mg3 Zn2 Ir1'
_space_group_name_H-M_alt 'P -6 2 m'
_space_group_IT_number 189
_space_group_name_Hall 'P -6 -2'
_cell_length_a 7.3021
_cell_length_b 7.3021
_cell_length_c 4.4822
_cell_angle_alpha 90.00
_cell_angle_beta 90.00
_cell_angle_gamma 120.00
loop_
_atom_site_label
_atom_site_fract_x
_atom_site_fract_y
_atom_site_fract_z
_atom_site_occupancy
Sm1 0.0000 0.4040 0.0000 1
Mg1 0.0000 0.7665 0.5000 1
Zn1 0.3333 0.6667 0.5000 1
Ir1 0.0000 0.0000 0.0000 1
# Spin magnetization (μB per formula unit): 0.01
# VASP energy (eV per atom): -3.710


[4]
# Gd2CoGe2, relaxed, DFT GGA-PBE
data_Gd2CoGe2
_chemical_formula_sum 'Gd8 Co4 Ge8'
_space_group_name_H-M_alt 'C 1 2/m 1'
_space_group_IT_number 12
_space_group_name_Hall '-C 2y'
_cell_length_a 10.615
_cell_length_b 4.215
_cell_length_c 10.283
_cell_angle_alpha 90.00
_cell_angle_beta 118.30
_cell_angle_gamma 90.00
loop_
_atom_site_label
_atom_site_fract_x
_atom_site_fract_y
_atom_site_fract_z
_atom_site_occupancy
Gd1 0.004 0.000 0.333 1
Gd2 0.186 0.000 0.113 1
Co1 0.223 0.500 0.356 1
Ge1 0.013 0.500 0.875 1
Ge2 0.158 0.500 0.565 1
# Spin magnetization (μB per formula unit): 0.01
# VASP energy (eV per atom): -5.866


[5]
# LiNbCuTe3, relaxed, DFT GGA-PBE
data_LiNbCuTe3
_chemical_formula_sum 'Li4 Nb4 Cu4 Te12'
_space_group_name_H-M_alt 'C m c m'
_space_group_IT_number 63
_space_group_name_Hall '-C 2c 2'
_cell_length_a 3.761
_cell_length_b 14.123
_cell_length_c 10.366
_cell_angle_alpha 90.00
_cell_angle_beta 90.00
_cell_angle_gamma 90.00
loop_
_atom_site_label
_atom_site_fract_x
_atom_site_fract_y
_atom_site_fract_z
_atom_site_occupancy
Li1 0.000 0.224 0.250 1
Nb1 0.000 0.000 0.000 1
Cu1 0.000 0.470 0.750 1
Te1 0.000 0.096 0.750 1
Te2 0.000 0.356 0.557 1
# Spin magnetization (μB per formula unit): 0.88
# VASP energy (eV per atom): -4.567


[6]
# PrAlO3, relaxed, DFT GGA-PBE
data_PrAlO3
_chemical_formula_sum 'Pr1 Al1 O3'
_space_group_name_H-M_alt 'P 4 m m'
_space_group_IT_number 99
_space_group_name_Hall 'P 4 -2'
_cell_length_a 3.661
_cell_length_b 3.661
_cell_length_c 5.493
_cell_angle_alpha 90.00
_cell_angle_beta 90.00
_cell_angle_gamma 90.00
loop_
_atom_site_label
_atom_site_fract_x
_atom_site_fract_y
_atom_site_fract_z
_atom_site_occupancy
Pr1 0.000 0.000 0.000 1
Al1 0.500 0.500 0.368 1
O1 0.000 0.000 0.614 1
O2 0.000 0.500 0.250 1
# Spin magnetization (μB per formula unit): 0.00
# VASP energy (eV per atom): -6.707


[7]
# TlHgIr, relaxed, DFT GGA-PBE
data_TlHgIr
_chemical_formula_sum 'Tl4 Hg4 Ir4'
_space_group_name_H-M_alt 'F -4 3 m'
_space_group_IT_number 216
_space_group_name_Hall 'F -4 2 3'
_cell_length_a 6.504
_cell_length_b 6.504
_cell_length_c 6.504
_cell_angle_alpha 90.00
_cell_angle_beta 90.00
_cell_angle_gamma 90.00
loop_
_atom_site_label
_atom_site_fract_x
_atom_site_fract_y
_atom_site_fract_z
_atom_site_occupancy
Tl1 0.000 0.000 0.000 1
Hg1 0.000 0.000 0.500 1
Ir1 0.250 0.250 0.750 1
# ΔE to the lowest computed polymorph (meV/atom): 0
# Spin magnetization (μB per formula unit): 0.00


[8]
# RbCu3GeTe4, relaxed, DFT GGA-PBE
data_RbCu3GeTe4
_chemical_formula_sum 'Rb2 Cu6 Ge2 Te8'
_space_group_name_H-M_alt 'P 1 21/m 1'
_space_group_IT_number 11
_space_group_name_Hall '-P 2yb'
_cell_length_a 6.170
_cell_length_b 8.108
_cell_length_c 10.903
_cell_angle_alpha 90.00
_cell_angle_beta 104.16
_cell_angle_gamma 90.00
loop_
_atom_site_label
_atom_site_fract_x
_atom_site_fract_y
_atom_site_fract_z
_atom_site_occupancy
Rb1 0.192 0.250 0.388 1
Cu1 0.304 0.551 0.014 1
Cu2 0.356 0.750 0.204 1
Ge1 0.129 0.250 0.776 1
Te1 0.036 0.250 0.005 1
Te2 0.217 0.750 0.415 1
Te3 0.381 0.521 0.787 1
# ΔE to the lowest computed polymorph (meV/atom): 0


Copy entry 5 word for word.
# LiNbCuTe3, relaxed, DFT GGA-PBE
data_LiNbCuTe3
_chemical_formula_sum 'Li4 Nb4 Cu4 Te12'
_space_group_name_H-M_alt 'C m c m'
_space_group_IT_number 63
_space_group_name_Hall '-C 2c 2'
_cell_length_a 3.761
_cell_length_b 14.123
_cell_length_c 10.366
_cell_angle_alpha 90.00
_cell_angle_beta 90.00
_cell_angle_gamma 90.00
loop_
_atom_site_label
_atom_site_fract_x
_atom_site_fract_y
_atom_site_fract_z
_atom_site_occupancy
Li1 0.000 0.224 0.250 1
Nb1 0.000 0.000 0.000 1
Cu1 0.000 0.470 0.750 1
Te1 0.000 0.096 0.750 1
Te2 0.000 0.356 0.557 1
# Spin magnetization (μB per formula unit): 0.88
# VASP energy (eV per atom): -4.567